The following is a DFT calculation (PBE) of a geometry-optimized TaZn2P structure.

Summary:
Its spin magnetization is 0.0 μB per formula unit. For the formation enthalpy at 0 K, the calculation gives 0.0 eV per formula unit. The calculation puts the total energy at -0.365 Ry per atom. The symmetry is Pm.

Lattice parameters (Å, degrees): 2.706 4.411 5.143 90.00 92.20 90.00
Fractional positions:
Ta 0.000 0.000 0.000
Zn 0.435 0.500 0.723
Zn 0.516 0.000 0.495
P 0.390 0.500 0.202

The following is a DFT calculation (PBE) of a geometry-optimized TaZnP structure.

Summary:
Its spin magnetization is 0.0 μB per formula unit. For the formation enthalpy at 0 K, the calculation gives 0.2 eV per formula unit. The calculation puts the total energy at -0.449 Ry per atom. The symmetry is Fmm2.

Lattice parameters (Å, degrees): 6.998 6.847 2.860 81.04 75.15 23.81
Fractional positions:
Ta 0.000 0.000 0.000
Zn 0.342 0.342 0.658
P 0.637 0.637 0.363